[1]
Ta2GaNi3 | PBEsol | optimized geometry

The space group is P6_3/mmc (No. 194) and the conventional cell measures 4.8483, 4.8483 and 7.6627 Å, with angles of 90.00, 90.00 and 120.00 degrees. Symmetry generates all atoms from Ta at (0.3333, 0.6667, 0.0565), Ga at (0.0000, 0.0000, 0.0000) and Ni at (0.1717, 0.3434, 0.7500).

As for the density: 12939 kg/m³. The value obtained for the spin magnetization is 0.005 μB/cell. As for the total DFT energy (no corrections): -98.03 eV/cell. For the formation enthalpy at 0 K, the calculation gives -2.10 eV/f.u.

[2]
CaZnW2 | PBEsol | optimized geometry

The space group is F-43m (No. 216) and the conventional cell measures 6.480, 6.480 and 6.480 Å, with angles of 90.00, 90.00 and 90.00 degrees. Symmetry generates all atoms from Ca at (0.000, 0.000, 0.000), Zn at (0.250, 0.250, 0.750), W at (0.000, 0.000, 0.500) and W at (0.250, 0.250, 0.250).

As for the density: 11549 kg/m³. The value obtained for the spin magnetization is 0.001 μB/cell. As for the total DFT energy (no corrections): -114.77 eV/cell. For the formation enthalpy at 0 K, the calculation gives 2.64 eV/f.u.

[3]
FeCuGeI2 | PBEsol | optimized geometry

The space group is P4/mmm (No. 123) and the conventional cell measures 5.382, 5.382 and 4.469 Å, with angles of 90.00, 90.00 and 90.00 degrees. Symmetry generates all atoms from Fe at (0.000, 0.000, 0.000), Cu at (0.500, 0.500, 0.500), Ge at (0.500, 0.500, 0.000) and I at (0.000, 0.500, 0.500).

As for the density: 5719 kg/m³. As for the energy relative to the elements, uncorrected: 925 meV per atom. The value obtained for the spin magnetization is 3.509 μB/cell. As for the total DFT energy (no corrections): -17.14 eV/cell.

[4]
ZrMn2In | PBEsol | optimized geometry

The space group is Imm2 (No. 44) and the conventional cell measures 3.873, 3.931 and 8.673 Å, with angles of 90.00, 90.00 and 90.00 degrees. Symmetry generates all atoms from Zr at (0.000, 0.000, 0.000), Mn at (0.000, 0.000, 0.502), Mn at (0.000, 0.500, 0.249) and In at (0.000, 0.500, 0.751).

As for the density: 7947 kg/m³. The value obtained for the spin magnetization is 9.571 μB/cell. As for the total DFT energy (no corrections): -62.18 eV/cell. For the formation enthalpy at 0 K, the calculation gives 0.51 eV/f.u.

[5]
GaTe3Pb | PBEsol | optimized geometry

The space group is Pm-3m (No. 221) and the conventional cell measures 5.329, 5.329 and 5.329 Å, with angles of 90.00, 90.00 and 90.00 degrees. Symmetry generates all atoms from Ga at (0.000, 0.000, 0.000), Te at (0.000, 0.000, 0.500) and Pb at (0.500, 0.500, 0.500).

As for the density: 7238 kg/m³. As for the energy relative to the elements, uncorrected: 138 meV per atom. The value obtained for the spin magnetization is 0.000 μB/cell. As for the total DFT energy (no corrections): -17.23 eV/cell.

[6]
CaY2Te4 | PBEsol | optimized geometry

The space group is P2/m (No. 10) and the conventional cell measures 7.419, 4.331 and 7.611 Å, with angles of 90.00, 107.95 and 90.00 degrees. Symmetry generates all atoms from Ca at (0.000, 0.000, 0.000), Y at (0.000, 0.500, 0.500), Y at (0.500, 0.000, 0.500), Te at (0.248, 0.000, 0.742) and Te at (0.261, 0.500, 0.252).

As for the density: 5198 kg/m³. As for the energy relative to the elements, uncorrected: -1473 meV per atom. The value obtained for the spin magnetization is 0.000 μB/cell. As for the total DFT energy (no corrections): -40.19 eV/cell.

Question: Which value of total DFT energy (no corrections) does entry 4 give?
Answer: -62.18 eV/cell